First-principles (PBEsol) data for a relaxed TaMoI2O crystal, as listed in Alexandria.

a = 5.445 Å, b = 5.445 Å, c = 3.692 Å
α = 90.00°, β = 90.00°, γ = 90.00°
Space group P4/mmm (No. 123)
One atom of each set of equivalent atoms:
Ta1 0.000 0.000 0.000 [1 per cell]
Mo1 0.500 0.500 0.500 [1 per cell]
I1 0.000 0.500 0.500 [2 per cell]
O1 0.500 0.500 0.000 [1 per cell]

Output
Spin magnetization   2.72 μB per formula unit
Total DFT energy (no corrections)   -30.8 eV per cell
Calculated density   8.3 g/cm³
Crystal system   tetragonal
N(E_F)   1.03 states/eV/atom

First-principles (PBEsol) data for a relaxed TlMoI2O crystal, as listed in Alexandria.

a = 5.701 Å, b = 5.701 Å, c = 3.810 Å
α = 90.00°, β = 90.00°, γ = 90.00°
Space group P4/mmm (No. 123)
One atom of each set of equivalent atoms:
Tl1 0.000 0.000 0.000 [1 per cell]
Mo1 0.500 0.500 0.500 [1 per cell]
I1 0.000 0.500 0.500 [2 per cell]
O1 0.500 0.500 0.000 [1 per cell]

Output
Spin magnetization   1.61 μB per formula unit
Total DFT energy (no corrections)   -25.8 eV per cell
Calculated density   7.6 g/cm³
Crystal system   tetragonal
N(E_F)   0.56 states/eV/atom

First-principles (PBEsol) data for a relaxed MoOs2PbI crystal, as listed in Alexandria.

a = 4.819 Å, b = 4.819 Å, c = 4.898 Å
α = 90.00°, β = 90.00°, γ = 90.00°
Space group P4/mmm (No. 123)
One atom of each set of equivalent atoms:
Mo1 0.000 0.000 0.000 [1 per cell]
Os1 0.000 0.500 0.500 [2 per cell]
Pb1 0.500 0.500 0.000 [1 per cell]
I1 0.000 0.000 0.500 [1 per cell]

Output
Spin magnetization   1.62 μB per formula unit
Total DFT energy (no corrections)   -30.1 eV per cell
Calculated density   11.8 g/cm³
Crystal system   tetragonal
N(E_F)   1.20 states/eV/atom

First-principles (PBEsol) data for a relaxed TaMoPb2I crystal, as listed in Alexandria.

a = 5.783 Å, b = 5.783 Å, c = 5.001 Å
α = 90.00°, β = 90.00°, γ = 90.00°
Space group P4/mmm (No. 123)
One atom of each set of equivalent atoms:
Ta1 0.000 0.000 0.000 [1 per cell]
Mo1 0.500 0.500 0.000 [1 per cell]
Pb1 0.000 0.500 0.500 [2 per cell]
I1 0.000 0.000 0.500 [1 per cell]

Output
Spin magnetization   3.05 μB per formula unit
Total DFT energy (no corrections)   -22.9 eV per cell
Calculated density   8.1 g/cm³
Crystal system   tetragonal
N(E_F)   0.97 states/eV/atom